[1]
This record from Alexandria describes a relaxed TiCu2Rh2 crystal. The functional is PBE-GGA.

Results
VASP energy in eV per formula unit: -31.36
Relative energy among the computed polymorphs in meV per atom: 0.0
Calculated formation energy in eV/atom: -0.115

Unit cell a=6.705 b=6.705 c=3.117 alpha=90.00 beta=90.00 gamma=90.00
Space group P4/mbm (No. 127)
Unique sites:
Ti1 0.000 0.000 0.000
Cu1 0.129 0.371 0.000
Rh1 0.169 0.669 0.500

---

[2]
This record from Alexandria describes a relaxed Ti3Cu3Rh2 crystal. The functional is PBE-GGA.

Results
VASP energy in eV per formula unit: -53.30
Calculated formation energy in eV/atom: -0.328

Unit cell a=6.8687 b=6.8687 c=2.9287 alpha=90.00 beta=90.00 gamma=120.00
Space group P-62m (No. 189)
Unique sites:
Ti1 0.0000 0.6003 0.0000
Cu1 0.0000 0.2206 0.5000
Rh1 0.3333 0.6667 0.5000

---

[3]
This record from Alexandria describes a relaxed TiCuRh2 crystal. The functional is PBE-GGA.

Results
VASP energy in eV per formula unit: -26.12
Calculated formation energy in eV/atom: 0.143

Unit cell a=2.737 b=4.657 c=9.644 alpha=90.00 beta=90.00 gamma=90.00
Space group Immm (No. 71)
Unique sites:
Ti1 0.000 0.000 0.000
Cu1 0.000 0.000 0.500
Rh1 0.000 0.000 0.239

---

[4]
This record from Alexandria describes a relaxed Ti2CuRh3 crystal. The functional is PBE-GGA.

Results
VASP energy in eV per formula unit: -45.97
Calculated formation energy in eV/atom: -0.672

Unit cell a=4.3204 b=4.3204 c=10.6315 alpha=90.00 beta=90.00 gamma=120.00
Space group P-3m1 (No. 164)
Unique sites:
Ti1 0.0000 0.0000 0.0000
Ti2 0.0000 0.0000 0.5000
Ti3 0.3333 0.6667 0.1860
Cu1 0.3333 0.6667 0.6703
Rh1 0.0000 0.0000 0.2434
Rh2 0.3333 0.6667 0.4216
Rh3 0.3333 0.6667 0.9238

---

[5]
This record from Alexandria describes a relaxed Ti6CuRh crystal. The functional is PBE-GGA.

Results
VASP energy in eV per formula unit: -57.68
Relative energy among the computed polymorphs in meV per atom: 386.4
Calculated formation energy in eV/atom: 0.142

Unit cell a=5.648 b=10.059 c=5.424 alpha=90.00 beta=119.23 gamma=90.00
Space group C2/m (No. 12)
Unique sites:
Ti1 0.004 0.219 0.247
Ti2 0.008 0.500 0.756
Cu1 0.000 0.000 0.000
Rh1 0.000 0.000 0.500

---

[6]
This record from Alexandria describes a relaxed Ti3CuRh2 crystal. The functional is PBE-GGA.

Results
VASP energy in eV per formula unit: -45.66
Relative energy among the computed polymorphs in meV per atom: 0.0
Calculated formation energy in eV/atom: -0.529

Unit cell a=4.186 b=12.709 c=3.353 alpha=90.00 beta=90.00 gamma=90.00
Space group Pmmn (No. 59, origin choice 2)
Unique sites:
Ti1 0.250 0.085 0.001
Ti2 0.250 0.750 0.000
Cu1 0.250 0.250 0.501
Rh1 0.250 0.586 0.500

---

[7]
This record from Alexandria describes a relaxed Ti3CuRh4 crystal. The functional is PBE-GGA.

Results
VASP energy in eV per formula unit: -62.59
Calculated formation energy in eV/atom: -0.675

Unit cell a=4.310 b=4.310 c=6.254 alpha=90.00 beta=90.00 gamma=90.00
Space group P4/mmm (No. 123)
Unique sites:
Ti1 0.000 0.000 0.000
Ti2 0.000 0.000 0.500
Ti3 0.500 0.500 0.000
Cu1 0.500 0.500 0.500
Rh1 0.000 0.500 0.244

---

[8]
This record from Alexandria describes a relaxed Ti2Cu3Rh crystal. The functional is PBE-GGA.

Results
VASP energy in eV per formula unit: -36.92
Calculated formation energy in eV/atom: -0.249

Unit cell a=5.388 b=7.619 c=8.506 alpha=90.00 beta=108.28 gamma=90.00
Space group C2/c (No. 15)
Unique sites:
Ti1 0.177 0.125 0.104
Cu1 0.000 0.375 0.250
Cu2 0.160 0.375 0.569
Rh1 0.000 0.125 0.750

---

Look up the calculated formation energy of the fourth one. -0.672 eV/atom